Record 1
# Mg2OsW

A relaxed structure of Mg2OsW (GGA-PBEsol, Alexandria via LeMat-Bulk).

Calculated values
The total energy is -28.01 eV per cell. Its symmetry is No. 8. The calculation puts the formation energy at 34.9 kJ per mole of atoms. The calculation puts the calculated volume at 16.27 A^3/atom. Its density of states at the Fermi level is 2.874 states/eV/cell. The crystal system is monoclinic.

Cell: 4.6640 4.6640 5.2319 Å, 95.38 95.38 35.07°
Atoms (fractional coordinates):
Mg 0.0000 0.0000 0.0000
Mg 0.2411 0.2411 0.7590
Os 0.4991 0.4991 0.4764
W 0.7510 0.7510 0.2869

Record 2
# Mg2OsW

A relaxed structure of Mg2OsW (GGA-PBEsol, Alexandria via LeMat-Bulk).

Calculated values
The total energy is -27.91 eV per cell. Its symmetry is No. 10. The calculation puts the formation energy at 37.2 kJ per mole of atoms. The calculation puts the calculated volume at 15.82 A^3/atom. Its density of states at the Fermi level is 2.814 states/eV/cell. The crystal system is monoclinic.

Cell: 2.6971 4.5867 5.2493 Å, 90.00 103.02 90.00°
Atoms (fractional coordinates):
Mg 0.2169 0.0000 0.2542
Mg 0.7831 0.0000 0.7458
Os 0.0000 0.5000 0.5000
W 0.5000 0.5000 0.0000

Record 3
# MgZnOs2W

A relaxed structure of MgZnOs2W (GGA-PBEsol, Alexandria via LeMat-Bulk).

Calculated values
The total energy is -30.77 eV per cell. Its symmetry is No. 123. The calculation puts the formation energy at 207.9 kJ per mole of atoms. The calculation puts the calculated volume at 16.27 A^3/atom. Its density of states at the Fermi level is 6.056 states/eV/cell. The crystal system is tetragonal.

Cell: 4.4376 4.4376 4.1301 Å, 90.00 90.00 90.00°
Atoms (fractional coordinates):
Mg 0.0000 0.0000 0.0000
Zn 0.0000 0.0000 0.5000
Os 0.0000 0.5000 0.0000
Os 0.5000 0.0000 0.0000
W 0.5000 0.5000 0.5000